Compound: ZrP2W
Source: Alexandria
Functional: PBE-GGA
Structure: relaxed

CIF file:
```
data_ZrP2W
_chemical_formula_sum 'Zr4 P8 W4'
_symmetry_space_group_name_H-M 'F -4 3 m'
_symmetry_Int_Tables_number 216
_symmetry_space_group_name_Hall 'F -4 2 3'
_cell_length_a 6.357
_cell_length_b 6.357
_cell_length_c 6.357
_cell_angle_alpha 90.00
_cell_angle_beta 90.00
_cell_angle_gamma 90.00
loop_
_atom_site_label
_atom_site_type_symbol
_atom_site_fract_x
_atom_site_fract_y
_atom_site_fract_z
Zr1 Zr 0.000 0.000 0.000
P1 P 0.000 0.000 0.500
P2 P 0.250 0.250 0.250
W1 W 0.250 0.250 0.750
```

## Properties
**Calculated volume**: 16.1 Å³ per atom
**Calculated formation energy**: 19.1 kJ per mole of atoms
**ΔE to the lowest computed polymorph**: 1031 meV per atom
**D(E_F)**: 0.5 states/eV/f.u.